Below is a geometry-optimized NaCaYCdF8 structure, with properties calculated at the PBEsol level.

a = 6.593 Å, b = 6.593 Å, c = 6.593 Å
α = 131.58°, β = 131.58°, γ = 70.90°
Element x y z (fractional)
Na 0.000 0.000 0.000
Ca 0.250 0.750 0.500
Y 0.500 0.500 0.000
Cd 0.750 0.250 0.500
F 0.135 0.136 0.520
F 0.135 0.616 0.000
F 0.384 0.384 0.520
F 0.384 0.865 0.000
F 0.616 0.136 0.000
F 0.616 0.616 0.480
F 0.864 0.384 0.000
F 0.864 0.865 0.480

The calculation puts the total energy at -5.65 eV/atom. For the density of states at the Fermi level, the calculation gives 0.000 states/eV/cell. The energy relative to the elements, uncorrected is -3.398 eV per atom.

=====

Below is a geometry-optimized CaCdFe structure, with properties calculated at the PBEsol level.

a = 4.680 Å, b = 4.680 Å, c = 3.360 Å
α = 90.00°, β = 90.00°, γ = 120.00°
Element x y z (fractional)
Ca 0.000 0.000 0.000
Cd 0.667 0.333 0.500
Fe 0.333 0.667 0.500

The calculation puts the formation energy from the elements at 1.07 eV/f.u. The calculation puts the total energy at -3.74 eV/atom. For the density of states at the Fermi level, the calculation gives 4.658 states/eV/cell.